Arrangement A

# CrAgOs

A relaxed CrAgOs crystal (PBE, Alexandria via LeMat-Bulk).

Cell: 5.930 5.930 5.930 Å, 152.24 152.24 39.66°
Fractional coordinates of all 3 atoms:
Cr1 0.000 0.000 0.000
Ag1 0.683 0.683 0.000
Os1 0.377 0.377 0.000

Calculated values
Its space group is I4mm, No. 107.

Arrangement B

# CrAgOs

A relaxed CrAgOs crystal (PBE, Alexandria via LeMat-Bulk).

Cell: 5.125 5.125 5.125 Å, 147.79 140.40 51.93°
Fractional coordinates of all 3 atoms:
Cr1 0.000 0.000 0.000
Ag1 0.314 0.314 0.000
Os1 0.620 0.620 0.000

Calculated values
Its space group is Imm2, No. 44.

Arrangement C

# CrAgOs

A relaxed CrAgOs crystal (PBE, Alexandria via LeMat-Bulk).

Cell: 4.140 4.140 4.140 Å, 60.00 60.00 60.00°
Fractional coordinates of all 3 atoms:
Cr1 0.000 0.000 0.000
Ag1 0.250 0.250 0.250
Os1 0.750 0.750 0.750

Calculated values
Its space group is F-43m, No. 216.

Arrangement D

# CrAgOs

A relaxed CrAgOs crystal (PBE, Alexandria via LeMat-Bulk).

Cell: 7.368 7.161 2.659 Å, 83.87 75.10 21.03°
Fractional coordinates of all 3 atoms:
Cr1 0.000 0.000 0.000
Ag1 0.672 0.672 0.328
Os1 0.357 0.357 0.643

Calculated values
Its space group is Fmm2, No. 42.

Most stable: arrangement A. Least stable: arrangement C.

Arrangement A

# CrAgOs

A relaxed CrAgOs crystal (PBE, Alexandria via LeMat-Bulk).

Cell: 2.726 2.726 6.879 Å, 90.00 90.00 120.00°
Fractional coordinates of all 3 atoms:
Cr1 0.000 0.000 0.000
Ag1 0.333 0.667 0.346
Os1 0.667 0.333 0.717

Calculated values
Its space group is P3m1, No. 156.

Arrangement B

# CrAgOs

A relaxed CrAgOs crystal (PBE, Alexandria via LeMat-Bulk).

Cell: 4.323 4.323 2.717 Å, 90.00 90.00 120.00°
Fractional coordinates of all 3 atoms:
Cr1 0.000 0.000 0.000
Ag1 0.333 0.667 0.619
Os1 0.667 0.333 0.175

Calculated values
Its space group is P3m1, No. 156.

Arrangement C

# CrAgOs

A relaxed CrAgOs crystal (PBE, Alexandria via LeMat-Bulk).

Cell: 2.872 2.872 10.750 Å, 90.00 90.00 90.00°
Fractional coordinates of all 6 atoms:
Cr1 0.250 0.250 0.068
Cr2 0.750 0.750 0.932
Ag1 0.250 0.250 0.401
Ag2 0.750 0.750 0.599
Os1 0.250 0.250 0.800
Os2 0.750 0.750 0.200

Calculated values
Its space group is P4/nmm, No. 129.

Arrangement D

# CrAgOs

A relaxed CrAgOs crystal (PBE, Alexandria via LeMat-Bulk).

Cell: 7.084 7.084 4.673 Å, 96.04 96.04 22.19°
Fractional coordinates of all 6 atoms:
Cr1 0.000 0.000 0.000
Cr2 0.134 0.134 0.365
Ag1 0.323 0.323 0.779
Ag2 0.814 0.814 0.276
Os1 0.493 0.493 0.485
Os2 0.641 0.641 0.875

Calculated values
Its space group is Cm, No. 8.

Most stable: arrangement C. Least stable: arrangement B.

Arrangement A

# CrAgOs

A relaxed CrAgOs crystal (PBE, Alexandria via LeMat-Bulk).

Cell: 8.290 8.290 3.936 Å, 90.00 90.00 160.93°
Fractional coordinates of all 6 atoms:
Cr1 0.040 0.960 0.750
Cr2 0.960 0.040 0.250
Ag1 0.204 0.796 0.750
Ag2 0.796 0.204 0.250
Os1 0.405 0.595 0.750
Os2 0.595 0.405 0.250

Calculated values
Its space group is Cmcm, No. 63.

Arrangement B

# CrAgOs

A relaxed CrAgOs crystal (PBE, Alexandria via LeMat-Bulk).

Cell: 7.037 7.037 4.682 Å, 95.09 95.09 22.39°
Fractional coordinates of all 6 atoms:
Cr1 0.067 0.067 0.360
Cr2 0.933 0.933 0.640
Ag1 0.257 0.257 0.750
Ag2 0.743 0.743 0.250
Os1 0.426 0.426 0.153
Os2 0.574 0.574 0.847

Calculated values
Its space group is C2/m, No. 12.

Most stable: arrangement A. Least stable: arrangement B.

Arrangement A

# CrAgP

A relaxed CrAgP crystal (PBE, Alexandria via LeMat-Bulk).

Cell: 5.468 5.468 5.468 Å, 147.93 147.93 45.98°
Fractional coordinates of all 3 atoms:
Cr1 0.000 0.000 0.000
Ag1 0.297 0.297 0.000
P1 0.591 0.591 0.000

Calculated values
Its space group is I4mm, No. 107.

Arrangement B

# CrAgP

A relaxed CrAgP crystal (PBE, Alexandria via LeMat-Bulk).

Cell: 4.210 4.210 4.210 Å, 60.00 60.00 60.00°
Fractional coordinates of all 3 atoms:
Cr1 0.000 0.000 0.000
Ag1 0.500 0.500 0.500
P1 0.250 0.250 0.250

Calculated values
Its space group is F-43m, No. 216.

Most stable: arrangement A. Least stable: arrangement B.

Arrangement A

# CrAg3P

A relaxed CrAg3P crystal (PBE, Alexandria via LeMat-Bulk).

Cell: 4.929 4.929 4.929 Å, 90.00 90.00 90.00°
Fractional coordinates of all 5 atoms:
Cr1 0.000 0.000 0.000
Ag1 0.000 0.000 0.500
Ag2 0.000 0.500 0.000
Ag3 0.500 0.000 0.000
P1 0.500 0.500 0.500

Calculated values
Its space group is Pm-3m, No. 221.

Arrangement B

# CrAg3P

A relaxed CrAg3P crystal (PBE, Alexandria via LeMat-Bulk).

Cell: 4.735 4.735 4.735 Å, 90.00 90.00 90.00°
Fractional coordinates of all 5 atoms:
Cr1 0.000 0.000 0.000
Ag1 0.000 0.500 0.500
Ag2 0.500 0.000 0.500
Ag3 0.500 0.500 0.000
P1 0.500 0.500 0.500

Calculated values
Its space group is Pm-3m, No. 221.

Most stable: arrangement B. Least stable: arrangement A.

Arrangement A

# CrAgPb2

A relaxed CrAgPb2 crystal (PBE, Alexandria via LeMat-Bulk).

Cell: 10.267 10.267 10.267 Å, 154.19 154.19 36.82°
Fractional coordinates of all 8 atoms:
Cr1 0.000 0.000 0.000
Cr2 0.750 0.250 0.500
Ag1 0.250 0.750 0.500
Ag2 0.500 0.500 0.000
Pb1 0.122 0.625 0.997
Pb2 0.375 0.372 0.497
Pb3 0.628 0.125 0.003
Pb4 0.875 0.878 0.503

Calculated values
Its space group is I-42d, No. 122.

Arrangement B

# CrAgPb2

A relaxed CrAgPb2 crystal (PBE, Alexandria via LeMat-Bulk).

Cell: 3.582 4.725 5.834 Å, 90.00 107.72 90.00°
Fractional coordinates of all 4 atoms:
Cr1 0.000 0.000 0.000
Ag1 0.848 0.500 0.693
Pb1 0.273 0.000 0.541
Pb2 0.570 0.500 0.141

Calculated values
Its space group is Pm, No. 6.

Most stable: arrangement B. Least stable: arrangement A.

Arrangement A

# CrAgPb2

A relaxed CrAgPb2 crystal (PBE, Alexandria via LeMat-Bulk).

Cell: 5.063 5.063 3.638 Å, 90.00 90.00 90.00°
Fractional coordinates of all 4 atoms:
Cr1 0.000 0.000 0.000
Ag1 0.500 0.500 0.000
Pb1 0.000 0.500 0.500
Pb2 0.500 0.000 0.500

Calculated values
Its space group is P4/mmm, No. 123.

Arrangement B

# CrAgPb2

A relaxed CrAgPb2 crystal (PBE, Alexandria via LeMat-Bulk).

Cell: 3.436 3.436 8.115 Å, 90.00 90.00 90.00°
Fractional coordinates of all 4 atoms:
Cr1 0.000 0.000 0.000
Ag1 0.500 0.500 0.819
Pb1 0.000 0.000 0.576
Pb2 0.500 0.500 0.228

Calculated values
Its space group is P4mm, No. 99.

Most stable: arrangement B. Least stable: arrangement A.

Arrangement A

# CrAgPt2

A relaxed CrAgPt2 crystal (PBE, Alexandria via LeMat-Bulk).

Cell: 4.495 4.495 4.495 Å, 60.00 60.00 60.00°
Fractional coordinates of all 4 atoms:
Cr1 0.000 0.000 0.000
Ag1 0.750 0.750 0.750
Pt1 0.250 0.250 0.250
Pt2 0.500 0.500 0.500

Calculated values
Its space group is F-43m, No. 216.

Arrangement B

# CrAgPt2

A relaxed CrAgPt2 crystal (PBE, Alexandria via LeMat-Bulk).

Cell: 2.767 2.767 7.902 Å, 90.00 90.00 90.00°
Fractional coordinates of all 4 atoms:
Cr1 0.000 0.000 0.000
Ag1 0.000 0.000 0.500
Pt1 0.500 0.500 0.221
Pt2 0.500 0.500 0.779

Calculated values
Its space group is P4/mmm, No. 123.

Most stable: arrangement B. Least stable: arrangement A.

Arrangement A

# CrAgPt2

A relaxed CrAgPt2 crystal (PBE, Alexandria via LeMat-Bulk).

Cell: 9.330 9.330 9.330 Å, 17.02 17.02 17.02°
Fractional coordinates of all 4 atoms:
Cr1 0.000 0.000 0.000
Ag1 0.751 0.751 0.751
Pt1 0.261 0.261 0.261
Pt2 0.506 0.506 0.506

Calculated values
Its space group is R3m, No. 160.

Arrangement B

# CrAgPt2

A relaxed CrAgPt2 crystal (PBE, Alexandria via LeMat-Bulk).

Cell: 4.896 4.896 4.831 Å, 100.79 100.79 33.86°
Fractional coordinates of all 4 atoms:
Cr1 0.000 0.000 0.000
Ag1 0.756 0.756 0.278
Pt1 0.263 0.263 0.786
Pt2 0.512 0.512 0.521

Calculated values
Its space group is Cm, No. 8.

Arrangement C

# CrAgPt2

A relaxed CrAgPt2 crystal (PBE, Alexandria via LeMat-Bulk).

Cell: 4.811 4.811 2.865 Å, 90.00 90.00 107.83°
Fractional coordinates of all 4 atoms:
Cr1 0.000 0.000 0.000
Ag1 0.500 0.500 0.000
Pt1 0.000 0.500 0.500
Pt2 0.500 0.000 0.500

Calculated values
Its space group is Cmmm, No. 65.

Arrangement D

# CrAgPt2

A relaxed CrAgPt2 crystal (PBE, Alexandria via LeMat-Bulk).

Cell: 2.861 4.576 4.831 Å, 90.00 90.00 90.00°
Fractional coordinates of all 4 atoms:
Cr1 0.000 0.000 0.000
Ag1 0.000 0.500 0.363
Pt1 0.500 0.000 0.518
Pt2 0.500 0.500 0.868

Calculated values
Its space group is Pmm2, No. 25.

Most stable: arrangement C. Least stable: arrangement A.

Arrangement A

# CrAgPt2

A relaxed CrAgPt2 crystal (PBE, Alexandria via LeMat-Bulk).

Cell: 2.810 2.810 7.997 Å, 90.00 90.00 90.00°
Fractional coordinates of all 4 atoms:
Cr1 0.000 0.000 0.000
Ag1 0.500 0.500 0.741
Pt1 0.000 0.000 0.475
Pt2 0.500 0.500 0.217

Calculated values
Its space group is P4mm, No. 99.

Arrangement B

# CrAgPt2

A relaxed CrAgPt2 crystal (PBE, Alexandria via LeMat-Bulk).

Cell: 5.723 5.723 5.723 Å, 102.88 102.88 123.65°
Fractional coordinates of all 8 atoms:
Cr1 0.000 0.000 0.000
Cr2 0.750 0.250 0.500
Ag1 0.250 0.750 0.500
Ag2 0.500 0.500 0.000
Pt1 0.096 0.625 0.971
Pt2 0.375 0.346 0.471
Pt3 0.654 0.125 0.029
Pt4 0.875 0.904 0.529

Calculated values
Its space group is I-42d, No. 122.

Arrangement C

# CrAgPt2

A relaxed CrAgPt2 crystal (PBE, Alexandria via LeMat-Bulk).

Cell: 9.331 9.331 9.331 Å, 17.10 17.10 17.10°
Fractional coordinates of all 4 atoms:
Cr1 0.000 0.000 0.000
Ag1 0.500 0.500 0.500
Pt1 0.257 0.257 0.257
Pt2 0.743 0.743 0.743

Calculated values
Its space group is R-3m, No. 166.

Arrangement D

# CrAgPt2

A relaxed CrAgPt2 crystal (PBE, Alexandria via LeMat-Bulk).

Cell: 4.820 4.820 4.902 Å, 101.81 101.81 34.57°
Fractional coordinates of all 4 atoms:
Cr1 0.000 0.000 0.000
Ag1 0.500 0.500 0.500
Pt1 0.260 0.260 0.760
Pt2 0.740 0.740 0.240

Calculated values
Its space group is C2/m, No. 12.

Most stable: arrangement C. Least stable: arrangement B.